Record 1
DFT (PBE-GGA) results for Ho4NiRu after structural relaxation.

Cell: 6.723 6.741 6.718 Å, 90.00 90.13 90.00°
Fractional coordinates of all 12 atoms:
Ho 0.839 0.661 0.163
Ho 0.661 0.161 0.837
Ho 0.336 0.335 0.336
Ho 0.164 0.835 0.664
Ho 0.161 0.339 0.837
Ho 0.339 0.839 0.163
Ho 0.664 0.665 0.664
Ho 0.836 0.165 0.336
Ni 0.500 0.000 0.500
Ni 0.000 0.500 0.500
Ru 0.000 0.000 0.000
Ru 0.500 0.500 0.000

## Properties
- density (g/cm3) = 8.9
- V (Å³/atom) = 25.37
- crystal system = monoclinic
- formation energy (eV per atom) = -0.278



Record 2
DFT (PBE-GGA) results for Ho5Ni2Ru after structural relaxation.

Cell: 7.035 7.035 8.774 Å, 113.63 113.63 90.00°
Fractional coordinates of all 16 atoms:
Ho 0.529 0.678 0.707
Ho 0.822 0.971 0.293
Ho 0.000 0.000 0.000
Ho 0.500 0.500 0.000
Ho 0.178 0.029 0.707
Ho 0.678 0.178 0.707
Ho 0.029 0.529 0.707
Ho 0.322 0.822 0.293
Ho 0.971 0.471 0.293
Ho 0.471 0.322 0.293
Ni 0.119 0.381 0.000
Ni 0.619 0.119 0.000
Ni 0.381 0.881 0.000
Ni 0.881 0.619 0.000
Ru 0.750 0.750 0.500
Ru 0.250 0.250 0.500

## Properties
- density (g/cm3) = 9.7
- V (Å³/atom) = 22.35
- crystal system = tetragonal
- formation energy (eV per atom) = -0.377



Record 3
DFT (PBE-GGA) results for Ho8Ni2Ru after structural relaxation.

Cell: 5.783 7.484 7.484 Å, 114.77 99.92 99.92°
Fractional coordinates of all 11 atoms:
Ho 0.581 0.337 0.084
Ho 0.581 0.084 0.337
Ho 0.170 0.364 0.364
Ho 0.991 0.216 0.787
Ho 0.991 0.787 0.216
Ho 0.819 0.644 0.644
Ho 0.390 0.921 0.667
Ho 0.390 0.667 0.921
Ni 0.494 0.701 0.308
Ni 0.494 0.308 0.701
Ru 0.098 0.005 0.005

## Properties
- density (g/cm3) = 9.2
- V (Å³/atom) = 25.34
- crystal system = monoclinic
- formation energy (eV per atom) = -0.170



Record 4
DFT (PBE-GGA) results for Ho6NiRu after structural relaxation.

Cell: 6.447 6.448 7.373 Å, 64.02 64.06 59.98°
Fractional coordinates of all 8 atoms:
Ho 0.079 0.423 0.750
Ho 0.747 0.080 0.751
Ho 0.577 0.253 0.249
Ho 0.253 0.920 0.249
Ho 0.921 0.577 0.250
Ho 0.423 0.747 0.751
Ni 0.500 0.500 0.500
Ru 0.000 0.000 0.000

## Properties
- density (g/cm3) = 8.3
- V (Å³/atom) = 28.63
- crystal system = trigonal
- formation energy (eV per atom) = -0.180